Below is a relaxed Dy2Tm2Lu3Ni2Te2 crystal, with properties calculated at the GGA-PBE level.

a b c (Å): 9.2256 9.2256 9.2256
angles (deg): 156.18 67.31 118.09
Last column: nearest neighbours and their distance in Å.
Positions (direct):
Tm 0.0829 0.7284 0.3545  2 Ni 2.80, 2 Te 3.12
Tm 0.3738 0.7284 0.6455  2 Ni 2.80, 2 Te 3.12
Lu 0.4473 0.5817 0.8655  2 Ni 2.74
Lu 0.0007 0.0007 0.0000  3 Te 3.18-3.22
Lu 0.7162 0.5817 0.1345  2 Ni 2.74
Te 0.3400 0.3400 0.0000  3 Lu 3.09-3.22, 4 Tm 3.12
Te 0.7319 0.2319 0.5000  6 Lu 3.15-3.18, 2 Dy 3.16
Dy 0.0618 0.3769 0.6849  2 Ni 2.77
Dy 0.6920 0.3769 0.3151  2 Ni 2.77
Ni 0.3079 0.0707 0.2372  2 Lu 2.74, 2 Dy 2.77, 2 Tm 2.80
Ni 0.8336 0.0707 0.7628  2 Lu 2.74, 2 Dy 2.77, 2 Tm 2.80

Space group   Imm2 (44)
Calculated total energy   -5.129 eV/atom
Spin magnetization   0.0 μB per formula unit



Below is a relaxed TbDy2Te3 crystal, with properties calculated at the GGA-PBE level.

a b c (Å): 4.3505 4.3505 10.6774
angles (deg): 90.00 90.00 120.00
Last column: nearest neighbours and their distance in Å.
Positions (direct):
Dy 0.6667 0.3333 0.3336  6 Te 3.07-3.08
Dy 0.3333 0.6667 0.6664  6 Te 3.07-3.08
Te 0.3333 0.6667 0.1680  3 Dy 3.07, 3 Tb 3.09
Te 0.6667 0.3333 0.8320  3 Dy 3.07, 3 Tb 3.09
Te 0.0000 0.0000 0.5000  6 Dy 3.08
Tb 0.0000 0.0000 0.0000  6 Te 3.09

Space group   P-3m1 (164)
Calculated total energy   -5.165 eV/atom
Spin magnetization   0.0 μB per formula unit